# RbZn2SbPt PBE relaxed
# - Uncorrected formation energy: -0.8 eV/f.u.
data_RbZn2SbPt
_chemical_formula_sum 'Rb1 Zn2 Sb1 Pt1'
_cell_length_a 5.0304
_cell_length_b 5.0304
_cell_length_c 5.3323
_cell_angle_alpha 90.00
_cell_angle_beta 90.00
_cell_angle_gamma 90.00
_symmetry_space_group_name_H-M 'P 1'
_symmetry_Int_Tables_number 1
loop_
_symmetry_equiv_pos_as_xyz
'x,y,z'
loop_
_atom_site_label
_atom_site_type_symbol
_atom_site_fract_x
_atom_site_fract_y
_atom_site_fract_z
Rb1 Rb 0.0000 0.0000 0.0000
Zn1 Zn 0.0000 0.5000 0.5000
Zn2 Zn 0.5000 0.0000 0.5000
Sb1 Sb 0.5000 0.5000 0.0000
Pt1 Pt 0.5000 0.5000 0.5000